The following is a DFT calculation (GGA-PBEsol) of a relaxed CaNb2O6 crystal.

Unit cell a=15.052 b=5.788 c=5.220 alpha=90.00 beta=90.00 gamma=90.00
Fractional coordinates of all 36 atoms:
Ca  0.000  0.221  0.250
Ca  0.000  0.779  0.750
Ca  0.500  0.279  0.750
Ca  0.500  0.721  0.250
Nb  0.165  0.313  0.701
Nb  0.165  0.687  0.201
Nb  0.335  0.187  0.201
Nb  0.335  0.813  0.701
Nb  0.665  0.187  0.299
Nb  0.665  0.813  0.799
Nb  0.835  0.313  0.799
Nb  0.835  0.687  0.299
O  0.087  0.095  0.593
O  0.087  0.905  0.093
O  0.099  0.429  0.994
O  0.099  0.571  0.494
O  0.243  0.363  0.376
O  0.243  0.637  0.876
O  0.257  0.137  0.876
O  0.257  0.863  0.376
O  0.401  0.071  0.494
O  0.401  0.929  0.994
O  0.413  0.405  0.093
O  0.413  0.595  0.593
O  0.587  0.405  0.407
O  0.587  0.595  0.907
O  0.599  0.071  0.006
O  0.599  0.929  0.506
O  0.743  0.137  0.624
O  0.743  0.863  0.124
O  0.757  0.363  0.124
O  0.757  0.637  0.624
O  0.901  0.429  0.506
O  0.901  0.571  0.006
O  0.913  0.095  0.907
O  0.913  0.905  0.407

Values from the calculation:
Raw formation energy in eV per formula unit: -24.954
Uncorrected energy in eV per atom: -8.91